Entry 1:
Compound: Mg2In4Ag
Source: the Alexandria database
Functional: PBE-GGA
Structure: relaxed

* space-group type: Fd-3m
* magnetic moment: 0.00 μB/f.u.
* final energy: -2.42 eV per atom

a = 10.000 Å, b = 10.000 Å, c = 10.000 Å
α = 60.00°, β = 60.00°, γ = 60.00°
Sites, in units of the cell vectors:
Mg  0.137  0.788  0.788
Mg  0.212  0.212  0.212
Mg  0.212  0.212  0.863
Mg  0.212  0.863  0.212
Mg  0.788  0.137  0.788
Mg  0.788  0.788  0.137
Mg  0.788  0.788  0.788
Mg  0.863  0.212  0.212
In  0.000  0.000  0.000
In  0.000  0.000  0.500
In  0.000  0.500  0.000
In  0.154  0.154  0.596
In  0.154  0.596  0.154
In  0.154  0.596  0.596
In  0.404  0.404  0.846
In  0.404  0.846  0.404
In  0.404  0.846  0.846
In  0.500  0.000  0.000
In  0.596  0.154  0.154
In  0.596  0.154  0.596
In  0.596  0.596  0.154
In  0.846  0.404  0.404
In  0.846  0.404  0.846
In  0.846  0.846  0.404
Ag  0.000  0.500  0.500
Ag  0.500  0.000  0.500
Ag  0.500  0.500  0.000
Ag  0.500  0.500  0.500

---

Entry 2:
Compound: Mg4InAg3
Source: the Alexandria database
Functional: PBE-GGA
Structure: relaxed

* space-group type: P4/mmm
* magnetic moment: 0.00 μB/f.u.
* final energy: -2.40 eV per atom

a = 4.728 Å, b = 4.728 Å, c = 6.997 Å
α = 90.00°, β = 90.00°, γ = 90.00°
Sites, in units of the cell vectors:
Mg  0.000  0.500  0.234
Mg  0.000  0.500  0.766
Mg  0.500  0.000  0.234
Mg  0.500  0.000  0.766
In  0.000  0.000  0.500
Ag  0.000  0.000  0.000
Ag  0.500  0.500  0.000
Ag  0.500  0.500  0.500

---

Entry 3:
Compound: Mg2InAg2
Source: the Alexandria database
Functional: PBE-GGA
Structure: relaxed

* space-group type: I4/mmm
* polymorph energy (0 for the lowest one): 0.182 eV/atom
* magnetic moment: 0.00 μB/f.u.
* final energy: -2.30 eV per atom

a = 7.088 Å, b = 7.088 Å, c = 7.088 Å
α = 145.79°, β = 145.79°, γ = 49.17°
Sites, in units of the cell vectors:
Mg  0.250  0.750  0.500
Mg  0.750  0.250  0.500
In  0.000  0.000  0.000
Ag  0.394  0.394  0.000
Ag  0.606  0.606  0.000

---

Entry 4:
Compound: Mg3In4Ag
Source: the Alexandria database
Functional: PBE-GGA
Structure: relaxed

* space-group type: P-1
* magnetic moment: 0.00 μB/f.u.
* final energy: -2.34 eV per atom

a = 3.292 Å, b = 4.664 Å, c = 12.755 Å
α = 92.67°, β = 97.15°, γ = 90.01°
Sites, in units of the cell vectors:
Mg  0.000  0.000  0.000
Mg  0.142  0.725  0.297
Mg  0.858  0.275  0.703
In  0.282  0.758  0.559
In  0.412  0.791  0.803
In  0.588  0.209  0.197
In  0.718  0.242  0.441
Ag  0.500  0.500  0.000

---

Entry 5:
Compound: Mg6In3Ag
Source: the Alexandria database
Functional: PBE-GGA
Structure: relaxed

* space-group type: P2_1/m
* polymorph energy (0 for the lowest one): 0.028 eV/atom
* magnetic moment: 0.00 μB/f.u.
* final energy: -2.13 eV per atom

a = 12.338 Å, b = 3.257 Å, c = 12.615 Å
α = 90.00°, β = 114.41°, γ = 90.00°
Sites, in units of the cell vectors:
Mg  0.053  0.250  0.149
Mg  0.097  0.750  0.603
Mg  0.157  0.250  0.836
Mg  0.255  0.250  0.506
Mg  0.290  0.750  0.309
Mg  0.418  0.250  0.057
Mg  0.582  0.750  0.943
Mg  0.710  0.250  0.691
Mg  0.745  0.750  0.494
Mg  0.843  0.750  0.164
Mg  0.903  0.250  0.397
Mg  0.947  0.750  0.851
In  0.204  0.750  0.051
In  0.365  0.250  0.778
In  0.484  0.750  0.622
In  0.516  0.250  0.378
In  0.635  0.750  0.222
In  0.796  0.250  0.949
Ag  0.072  0.750  0.351
Ag  0.928  0.250  0.649

---

Entry 6:
Compound: MgInAg
Source: the Alexandria database
Functional: PBE-GGA
Structure: relaxed

* space-group type: I4mm
* magnetic moment: 0.00 μB/f.u.
* final energy: -2.50 eV per atom

a = 5.219 Å, b = 5.219 Å, c = 5.219 Å
α = 138.24°, β = 138.24°, γ = 60.54°
Sites, in units of the cell vectors:
Mg  0.000  0.000  0.000
In  0.326  0.326  0.000
Ag  0.659  0.659  0.000

---

Results for calculated formation energy: 0.010, -0.187, 0.022, -0.015, -0.067, -0.110 (in eV per atom, following the order of the records).